Entry from the Alexandria database: a relaxed structure of ScNbNi2O6 (GGA+U).

abc: 5.2157 5.2156 5.6281
angles: 62.39 62.39 60.00
Last column: magnetic moment on the atom in μB.
Sites, in units of the cell vectors:
O (0.4174, 0.7118, 0.7544)  0.07
O (0.9333, 0.5973, 0.2444)  0.05
O (0.2250, 0.9333, 0.2443)  0.05
O (0.7119, 0.1164, 0.7544)  0.07
O (0.1164, 0.4174, 0.7544)  0.07
O (0.5973, 0.2249, 0.2445)  0.05
Ni (0.5160, 0.5161, 0.4519)  1.76
Ni (0.0207, 0.0207, 0.9379)  1.77
Sc (0.8107, 0.8106, 0.5681)  0.01
Nb (0.3130, 0.3130, 0.0610)  0.04

mass density = 5.21 g cm⁻³
SG = R3 (146)
final energy = -7.34 eV per atom